CaPm7Pr12: relaxed, PBE-GGA.

Cell and atoms, written as POSCAR:
```
CaPm7Pr12
1.0
9.6157 0.0000 -3.3997
-4.8078 8.3274 -3.3997
0.0000 0.0000 10.1990
Pm Ca Pr
7 1 12
direct
0.0000 0.0000 0.5000
0.0000 0.5000 0.5000
0.5000 0.0000 0.5000
0.5000 0.5000 0.5000
0.5000 0.5000 0.0000
0.0000 0.5000 0.0000
0.5000 0.0000 0.0000
0.0000 0.0000 0.0000
0.2536 0.2548 0.5085
0.2536 0.7452 0.9988
0.2548 0.5085 0.2536
0.0012 0.7464 0.2548
0.4915 0.7464 0.7452
0.2548 0.0012 0.7464
0.5085 0.2536 0.2548
0.7464 0.7452 0.4915
0.7452 0.9988 0.2536
0.7464 0.2548 0.0012
0.7452 0.4915 0.7464
0.9988 0.2536 0.7452
```

Space group: Im-3, No. 204
Crystal system: cubic
ΔH_f (0 K) (meV/atom): 564